# 1
KCa2Fe after structural relaxation, computed with GGA-PBEsol.

Computed properties:
- relative energy among the computed polymorphs (meV per atom) = 109
- formation energy from the elements (eV per atom) = 0.745
- M_tot (μB per cell) = 2.32
- N(E_F) (states/eV/f.u.) = 6.58

Cell and atoms, written as POSCAR:
```
KCa2Fe
1.0
-3.534 4.286 0.174
-3.577 0.823 -4.173
-5.429 -0.905 0.774
Ca Fe K
2 1 1
direct
0.250 0.250 0.250
0.750 0.750 0.750
0.000 0.000 0.000
0.500 0.500 0.500
```

---

# 2
ReAs3I after structural relaxation, computed with GGA-PBEsol.

Computed properties:
- M_tot (μB per cell) = 0.00
- formation energy (no corrections) (eV per atom) = 0.4527
- N(E_F) (states/eV/f.u.) = 3.58

Cell and atoms, written as POSCAR:
```
ReAs3I
1.0
-1.656 4.036 2.068
-3.393 -2.563 2.287
3.010 -0.668 3.716
I Re As
1 1 3
direct
0.500 0.500 0.500
0.000 0.000 0.000
0.000 0.500 0.000
0.000 0.000 0.500
0.500 0.000 0.000
```

---

# 3
RbBaCd2 after structural relaxation, computed with GGA-PBEsol.

Computed properties:
- formation energy from the elements (eV per atom) = -0.041
- M_tot (μB per cell) = 0.00
- N(E_F) (states/eV/f.u.) = 4.19

Cell and atoms, written as POSCAR:
```
RbBaCd2
1.0
-1.117 5.333 2.342
-3.807 0.516 4.518
1.997 1.335 5.423
Ba Rb Cd
1 1 2
direct
0.500 0.500 0.500
0.000 0.000 0.000
0.250 0.250 0.250
0.750 0.750 0.750
```

---

# 4
Te2OsAu2 after structural relaxation, computed with GGA-PBEsol.

Computed properties:
- M_tot (μB per cell) = 0.00
- formation energy (no corrections) (eV per atom) = 1.0100
- N(E_F) (states/eV/f.u.) = 3.25

Cell and atoms, written as POSCAR:
```
Te2OsAu2
1.0
-4.717 -2.102 -1.295
4.540 -2.273 -1.901
-1.202 -0.484 5.164
Au Os Te
2 1 2
direct
0.664 0.327 0.664
0.336 0.673 0.336
0.000 0.000 0.000
0.250 0.500 0.750
0.750 0.500 0.250
```

---

# 5
SbPb3 after structural relaxation, computed with GGA-PBEsol.

Computed properties:
- M_tot (μB per cell) = 0.00
- formation energy (no corrections) (eV per atom) = 0.0687
- N(E_F) (states/eV/f.u.) = 2.13

Cell and atoms, written as POSCAR:
```
SbPb3
1.0
3.345 -0.023 0.000
-1.184 3.128 0.000
0.000 0.000 10.993
Pb Sb
3 1
direct
0.000 0.000 0.259
0.500 0.500 0.000
0.000 0.000 0.741
0.500 0.500 0.500
```

---

# 6
BaRh2Cl after structural relaxation, computed with GGA-PBEsol.

Computed properties:
- relative energy among the computed polymorphs (meV per atom) = 89
- M_tot (μB per cell) = 1.02
- formation energy (no corrections) (eV per atom) = 0.1187
- N(E_F) (states/eV/f.u.) = 5.56

Cell and atoms, written as POSCAR:
```
BaRh2Cl
1.0
3.186 0.005 0.000
0.015 4.749 0.000
-1.601 -2.377 5.319
Rh Ba Cl
2 1 1
direct
0.000 0.500 0.500
0.500 0.000 0.500
0.000 0.000 0.000
0.500 0.500 0.000
```